No. 1
! Sm4HoTh2, optimized geometry, DFT PBE; values from VASP
&SYSTEM
  ibrav = 0, nat = 7, ntyp = 3
/
ATOMIC_SPECIES
Sm 150.36 Sm.upf
Ho 164.93 Ho.upf
Th 232.04 Th.upf
ATOMIC_POSITIONS crystal
Sm 0.001 0.000 0.271
Sm 0.331 0.499 0.667
Sm 0.669 0.499 0.333
Sm 0.999 0.000 0.729
Ho 0.500 0.999 0.000
Th 0.000 0.500 0.000
Th 0.500 0.999 0.500
CELL_PARAMETERS angstrom
5.836 0.000 0.000
0.000 5.729 0.000
-1.331 0.000 7.205
! formation energy from the elements	34.7	kJ/mol of atoms
! Fermi-level density of states	1.711	states/eV per atom
! E above lowest polymorph	0.000	eV per atom
! total moment	0.000	μB per formula unit
! E_tot	-5.111	eV/atom
! SG	P2


No. 2
! Pr2ErMn, optimized geometry, DFT PBE; values from VASP
&SYSTEM
  ibrav = 0, nat = 4, ntyp = 3
/
ATOMIC_SPECIES
Pr 140.91 Pr.upf
Er 167.26 Er.upf
Mn 54.94 Mn.upf
ATOMIC_POSITIONS crystal
Pr 0.083 0.083 0.083
Pr 0.917 0.917 0.917
Er 0.500 0.500 0.500
Mn 0.000 0.000 0.000
CELL_PARAMETERS angstrom
1.726 0.996 11.830
-1.726 0.996 11.830
0.000 -1.992 11.830
! formation energy from the elements	52.5	kJ/mol of atoms
! Fermi-level density of states	1.439	states/eV per atom
! total moment	3.572	μB per formula unit
! E_tot	-5.279	eV/atom
! SG	R-3m


No. 3
! KSbTe2, optimized geometry, DFT PBE; values from VASP
&SYSTEM
  ibrav = 0, nat = 4, ntyp = 3
/
ATOMIC_SPECIES
K 39.10 K.upf
Sb 121.76 Sb.upf
Te 127.60 Te.upf
ATOMIC_POSITIONS crystal
K 0.000 0.000 0.000
Sb 0.832 0.832 0.832
Te 0.234 0.234 0.234
Te 0.430 0.430 0.430
CELL_PARAMETERS angstrom
2.245 1.296 8.405
-2.245 1.296 8.405
0.000 -2.592 8.405
! formation energy without anion corrections	-2.1	eV per formula unit
! total moment	0.000	μB per formula unit
! E_tot	-3.397	eV/atom
! SG	R3m


No. 4
! BeNbCu, optimized geometry, DFT PBE; values from VASP
&SYSTEM
  ibrav = 0, nat = 6, ntyp = 3
/
ATOMIC_SPECIES
Be 9.01 Be.upf
Nb 92.91 Nb.upf
Cu 63.55 Cu.upf
ATOMIC_POSITIONS crystal
Be 0.184 0.132 0.360
Be 0.816 0.868 0.640
Nb 0.500 0.500 0.000
Nb 0.500 0.500 0.500
Cu 0.197 0.106 0.820
Cu 0.803 0.894 0.180
CELL_PARAMETERS angstrom
2.815 0.000 0.000
1.407 5.153 0.000
0.007 1.376 5.347
! formation energy from the elements	0.5	kJ/mol of atoms
! Fermi-level density of states	0.694	states/eV per atom
! E above lowest polymorph	0.087	eV per atom
! total moment	0.000	μB per formula unit
! E_tot	-5.959	eV/atom
! SG	P-1


No. 5
! PmDy2HoEr6, optimized geometry, DFT PBE; values from VASP
&SYSTEM
  ibrav = 0, nat = 20, ntyp = 4
/
ATOMIC_SPECIES
Pm 145.00 Pm.upf
Dy 162.50 Dy.upf
Ho 164.93 Ho.upf
Er 167.26 Er.upf
ATOMIC_POSITIONS crystal
Pm 0.025 0.975 0.750
Pm 0.975 0.025 0.250
Dy 0.198 0.303 0.546
Dy 0.303 0.198 0.046
Dy 0.697 0.802 0.954
Dy 0.802 0.697 0.454
Ho 0.409 0.591 0.250
Ho 0.591 0.409 0.750
Er 0.019 0.568 0.683
Er 0.124 0.750 0.058
Er 0.250 0.876 0.442
Er 0.291 0.508 0.882
Er 0.432 0.981 0.817
Er 0.492 0.709 0.618
Er 0.508 0.291 0.382
Er 0.568 0.019 0.183
Er 0.709 0.492 0.118
Er 0.750 0.124 0.558
Er 0.876 0.250 0.942
Er 0.981 0.432 0.317
CELL_PARAMETERS angstrom
4.503 -7.469 0.000
4.503 7.469 0.000
-1.189 0.000 9.393
! formation energy from the elements	11.7	kJ/mol of atoms
! Fermi-level density of states	1.433	states/eV per atom
! total moment	0.000	μB per formula unit
! E_tot	-4.470	eV/atom
! SG	C2/c


No. 6
! Hg6BiPb2, optimized geometry, DFT PBE; values from VASP
&SYSTEM
  ibrav = 0, nat = 9, ntyp = 3
/
ATOMIC_SPECIES
Hg 200.59 Hg.upf
Bi 208.98 Bi.upf
Pb 207.20 Pb.upf
ATOMIC_POSITIONS crystal
Hg 0.110 0.110 0.456
Hg 0.230 0.230 0.886
Hg 0.314 0.314 0.333
Hg 0.686 0.686 0.667
Hg 0.770 0.770 0.114
Hg 0.890 0.890 0.544
Bi 0.000 0.000 0.000
Pb 0.462 0.462 0.771
Pb 0.538 0.538 0.229
CELL_PARAMETERS angstrom
5.688 -1.777 0.000
5.688 1.777 0.000
-4.397 0.000 12.576
! formation energy from the elements	4.1	kJ/mol of atoms
! Fermi-level density of states	0.447	states/eV per atom
! total moment	0.000	μB per formula unit
! E_tot	-1.414	eV/atom
! SG	C2/m


No. 7
! NdPuGe2, optimized geometry, DFT PBE; values from VASP
&SYSTEM
  ibrav = 0, nat = 4, ntyp = 3
/
ATOMIC_SPECIES
Nd 144.24 Nd.upf
Pu 244.00 Pu.upf
Ge 72.64 Ge.upf
ATOMIC_POSITIONS crystal
Nd 0.000 0.000 0.000
Pu 0.000 0.000 0.500
Ge 0.500 0.500 0.257
Ge 0.500 0.500 0.743
CELL_PARAMETERS angstrom
3.355 0.000 0.000
0.000 3.355 0.000
0.000 0.000 8.302
! formation energy from the elements	-49.8	kJ/mol of atoms
! Fermi-level density of states	2.033	states/eV per atom
! total moment	5.590	μB per formula unit
! E_tot	-7.600	eV/atom
! SG	P4/mmm


No. 8
! KNaPd, optimized geometry, DFT PBE; values from VASP
&SYSTEM
  ibrav = 0, nat = 6, ntyp = 3
/
ATOMIC_SPECIES
K 39.10 K.upf
Na 22.99 Na.upf
Pd 106.42 Pd.upf
ATOMIC_POSITIONS crystal
K 0.357 0.107 0.250
K 0.643 0.893 0.750
Na 0.000 0.500 0.500
Na 0.500 0.500 0.000
Pd 0.000 0.000 0.500
Pd 0.000 0.500 0.000
CELL_PARAMETERS angstrom
-2.968 3.187 4.252
2.968 -3.187 4.252
2.968 3.187 -4.252
! formation energy from the elements	0.3	kJ/mol of atoms
! Fermi-level density of states	0.295	states/eV per atom
! total moment	0.000	μB per formula unit
! E_tot	-2.534	eV/atom
! SG	Imma